Computed, not measured: a geometry-optimized LiIr2Pb structure at the PBE-GGA level of DFT.

Unit cell a=4.518 b=4.518 c=4.518 alpha=60.00 beta=60.00 gamma=60.00
Positions (direct):
Li 0.000 0.000 0.000
Ir 0.250 0.250 0.250
Ir 0.500 0.500 0.500
Pb 0.750 0.750 0.750

## Properties
As for the raw total energy: -5.614 eV per atom. The calculation puts the total magnetic moment at 0.36 μB per cell.